No. 1
A plane-wave DFT calculation with PBE was carried out for Mg2In3Bi after structural relaxation.

Calculated values
E_form ... -0.047 eV/atom
Spin magnetization ... 0.00 μB per cell
N(E_F) ... 5.23 states/eV/cell

Lattice parameters (Å, degrees): 4.5817 10.9786 7.3102 114.70 106.77 90.50
Last column: nearest neighbours and their distance in Å.
Positions (direct):
In (0.7120, 0.3783, 0.4234)  8 In 3.24-3.52, 2 Mg 3.26-3.34, 1 Bi 3.58
In (0.0340, 0.3695, 0.0790)  8 In 3.19-3.49, 3 Mg 3.21-3.25
Mg (0.8058, 0.1389, 0.5956)  3 Bi 3.07-3.13, 4 In 3.21-3.34, 2 Mg 3.30-3.33
Bi (0.8387, 0.9085, 0.7304)  6 Mg 3.07-3.31, 1 Bi 3.42
Mg (0.1942, 0.8611, 0.4044)  3 Bi 3.07-3.13, 4 In 3.21-3.34, 2 Mg 3.30-3.33
In (0.2880, 0.6217, 0.5766)  8 In 3.24-3.52, 2 Mg 3.26-3.34, 1 Bi 3.58
In (0.3824, 0.3698, 0.7586)  8 In 3.19-3.52, 3 Mg 3.22-3.29, 1 Bi 3.45
Mg (0.5407, 0.8612, 0.0624)  3 Bi 3.18-3.31, 4 In 3.22-3.29, 3 Mg 3.30-3.52
Mg (0.4593, 0.1388, 0.9376)  3 Bi 3.18-3.31, 4 In 3.22-3.29, 3 Mg 3.30-3.52
In (0.6176, 0.6302, 0.2414)  8 In 3.19-3.52, 3 Mg 3.22-3.29, 1 Bi 3.45
In (0.9660, 0.6305, 0.9210)  8 In 3.19-3.49, 3 Mg 3.21-3.25
Bi (0.1613, 0.0915, 0.2696)  6 Mg 3.07-3.31, 1 Bi 3.42

***

No. 2
A plane-wave DFT calculation with PBE was carried out for Mg5In12Bi3 after structural relaxation.

Calculated values
E_form ... 0.182 eV/atom
Spin magnetization ... 0.00 μB per cell
N(E_F) ... 38.52 states/eV/cell

Lattice parameters (Å, degrees): 15.2912 15.2912 15.2912 109.47 109.47 109.47
Last column: nearest neighbours and their distance in Å.
Positions (direct):
In (0.6370, 0.5768, 0.9127)  2 Mg 2.94-2.97, 2 Bi 3.15-3.28
Mg (0.5000, 0.0000, 0.0000)  6 In 2.97
In (0.8630, 0.2758, 0.4398)  2 Mg 2.94-2.97, 2 Bi 3.15-3.28
In (0.2242, 0.5602, 0.6370)  2 Mg 2.94-2.97, 2 Bi 3.15-3.28
Bi (0.2500, 0.1250, 0.3750)  8 In 3.15-3.28
In (0.4232, 0.3630, 0.5873)  2 Mg 2.94-2.97, 2 Bi 3.15-3.28
Bi (0.2500, 0.6250, 0.8750)  8 In 3.15-3.28
In (0.3360, 0.7758, 0.4127)  2 Mg 2.94-2.97, 2 Bi 3.15-3.28
Mg (0.5000, 0.5000, 0.0000)  6 In 2.97
In (0.5873, 0.7242, 0.6640)  2 Mg 2.94-2.97, 2 Bi 3.15-3.28
Mg (0.0000, 0.5000, 0.5000)  6 In 2.97
In (0.9232, 0.8360, 0.5602)  2 Mg 2.94-2.97, 2 Bi 3.15-3.28
Mg (0.2500, 0.3750, 0.6250)  4 In 2.94
Mg (0.3750, 0.2500, 0.1250)  4 In 2.94
In (0.4398, 0.6640, 0.0768)  2 Mg 2.94-2.97, 2 Bi 3.15-3.28
In (0.6640, 0.4398, 0.5768)  2 Mg 2.94-2.97, 2 Bi 3.15-3.28
Bi (0.1250, 0.8750, 0.7500)  8 In 3.15-3.28
Bi (0.1250, 0.2500, 0.8750)  8 In 3.15-3.28
In (0.8630, 0.5873, 0.9232)  2 Mg 2.94-2.97, 2 Bi 3.15-3.28
Bi (0.6250, 0.2500, 0.3750)  8 In 3.15-3.28
In (0.2242, 0.6640, 0.0873)  2 Mg 2.94-2.97, 2 Bi 3.15-3.28
In (0.1640, 0.0873, 0.7242)  2 Mg 2.94-2.97, 2 Bi 3.15-3.28
In (0.4127, 0.1370, 0.5768)  2 Mg 2.94-2.97, 2 Bi 3.15-3.28
In (0.7242, 0.5873, 0.1640)  2 Mg 2.94-2.97, 2 Bi 3.15-3.28
Bi (0.3750, 0.7500, 0.6250)  8 In 3.15-3.28
In (0.4232, 0.0602, 0.3360)  2 Mg 2.94-2.97, 2 Bi 3.15-3.28
In (0.2758, 0.4127, 0.8360)  2 Mg 2.94-2.97, 2 Bi 3.15-3.28
In (0.7242, 0.1370, 0.0602)  2 Mg 2.94-2.97, 2 Bi 3.15-3.28
Mg (0.8750, 0.2500, 0.6250)  4 In 2.94
In (0.0873, 0.1640, 0.2242)  2 Mg 2.94-2.97, 2 Bi 3.15-3.28
In (0.8360, 0.9127, 0.2758)  2 Mg 2.94-2.97, 2 Bi 3.15-3.28
In (0.8360, 0.9232, 0.0602)  2 Mg 2.94-2.97, 2 Bi 3.15-3.28
In (0.5873, 0.8630, 0.4232)  2 Mg 2.94-2.97, 2 Bi 3.15-3.28
In (0.1370, 0.4127, 0.0768)  2 Mg 2.94-2.97, 2 Bi 3.15-3.28
In (0.5768, 0.6370, 0.4127)  2 Mg 2.94-2.97, 2 Bi 3.15-3.28
In (0.4398, 0.7758, 0.8630)  2 Mg 2.94-2.97, 2 Bi 3.15-3.28
In (0.3630, 0.4232, 0.0873)  2 Mg 2.94-2.97, 2 Bi 3.15-3.28
Mg (0.0000, 0.0000, 0.0000)  6 In 2.97
Mg (0.3750, 0.1250, 0.7500)  4 In 2.94
In (0.4127, 0.2758, 0.3360)  2 Mg 2.94-2.97, 2 Bi 3.15-3.28
Mg (0.7500, 0.6250, 0.3750)  4 In 2.94
Bi (0.7500, 0.3750, 0.1250)  8 In 3.15-3.28
Bi (0.8750, 0.1250, 0.2500)  8 In 3.15-3.28
Mg (0.5000, 0.0000, 0.5000)  6 In 2.97
In (0.9127, 0.8360, 0.7758)  2 Mg 2.94-2.97, 2 Bi 3.15-3.28
Mg (0.0000, 0.5000, 0.0000)  6 In 2.97
Bi (0.8750, 0.7500, 0.1250)  8 In 3.15-3.28
In (0.9232, 0.0873, 0.8630)  2 Mg 2.94-2.97, 2 Bi 3.15-3.28
In (0.0602, 0.4232, 0.8360)  2 Mg 2.94-2.97, 2 Bi 3.15-3.28
In (0.5768, 0.9398, 0.6640)  2 Mg 2.94-2.97, 2 Bi 3.15-3.28
Mg (0.6250, 0.8750, 0.2500)  4 In 2.94
In (0.0873, 0.9232, 0.3630)  2 Mg 2.94-2.97, 2 Bi 3.15-3.28
In (0.3630, 0.9398, 0.7758)  2 Mg 2.94-2.97, 2 Bi 3.15-3.28
Mg (0.8750, 0.6250, 0.7500)  4 In 2.94
In (0.3360, 0.5602, 0.4232)  2 Mg 2.94-2.97, 2 Bi 3.15-3.28
Mg (0.1250, 0.3750, 0.2500)  4 In 2.94
In (0.6370, 0.0602, 0.2242)  2 Mg 2.94-2.97, 2 Bi 3.15-3.28
Mg (0.7500, 0.1250, 0.8750)  4 In 2.94
In (0.6640, 0.2242, 0.5873)  2 Mg 2.94-2.97, 2 Bi 3.15-3.28
In (0.0602, 0.6370, 0.7242)  2 Mg 2.94-2.97, 2 Bi 3.15-3.28
Mg (0.5000, 0.5000, 0.5000)  6 In 2.97
Mg (0.6250, 0.7500, 0.8750)  4 In 2.94
Mg (0.1250, 0.7500, 0.3750)  4 In 2.94
In (0.1640, 0.0768, 0.9398)  2 Mg 2.94-2.97, 2 Bi 3.15-3.28
In (0.2758, 0.8630, 0.9398)  2 Mg 2.94-2.97, 2 Bi 3.15-3.28
In (0.0768, 0.1640, 0.4398)  2 Mg 2.94-2.97, 2 Bi 3.15-3.28
In (0.5602, 0.3360, 0.9232)  2 Mg 2.94-2.97, 2 Bi 3.15-3.28
Bi (0.6250, 0.3750, 0.7500)  8 In 3.15-3.28
In (0.9398, 0.3630, 0.2758)  2 Mg 2.94-2.97, 2 Bi 3.15-3.28
In (0.9398, 0.5768, 0.1640)  2 Mg 2.94-2.97, 2 Bi 3.15-3.28
In (0.7758, 0.3360, 0.9127)  2 Mg 2.94-2.97, 2 Bi 3.15-3.28
Mg (0.2500, 0.8750, 0.1250)  4 In 2.94
In (0.9127, 0.0768, 0.6370)  2 Mg 2.94-2.97, 2 Bi 3.15-3.28
In (0.7758, 0.4398, 0.3630)  2 Mg 2.94-2.97, 2 Bi 3.15-3.28
In (0.1370, 0.7242, 0.5602)  2 Mg 2.94-2.97, 2 Bi 3.15-3.28
In (0.0768, 0.9127, 0.1370)  2 Mg 2.94-2.97, 2 Bi 3.15-3.28
Bi (0.7500, 0.8750, 0.6250)  8 In 3.15-3.28
Mg (0.0000, 0.0000, 0.5000)  6 In 2.97
Bi (0.3750, 0.6250, 0.2500)  8 In 3.15-3.28
In (0.5602, 0.2242, 0.1370)  2 Mg 2.94-2.97, 2 Bi 3.15-3.28

***

No. 3
A plane-wave DFT calculation with PBE was carried out for Mg2In8Bi after structural relaxation.

Calculated values
E_form ... 0.004 eV/atom
Spin magnetization ... 0.00 μB per cell
N(E_F) ... 5.42 states/eV/cell

Lattice parameters (Å, degrees): 4.6910 4.6910 13.6684 90.00 90.00 90.00
Last column: nearest neighbours and their distance in Å.
Positions (direct):
Mg (0.0000, 0.0000, 0.3375)  12 In 3.23-3.32
Bi (0.0000, 0.0000, 0.0000)  8 In 3.28
In (0.5000, 0.0000, 0.1673)  6 In 3.27-3.32, 2 Bi 3.28, 2 Mg 3.30
In (0.0000, 0.5000, 0.5000)  4 Mg 3.23, 8 In 3.27-3.32
In (0.0000, 0.5000, 0.8327)  6 In 3.27-3.32, 2 Bi 3.28, 2 Mg 3.30
In (0.5000, 0.0000, 0.5000)  4 Mg 3.23, 8 In 3.27-3.32
Mg (0.0000, 0.0000, 0.6625)  12 In 3.23-3.32
In (0.5000, 0.0000, 0.8327)  6 In 3.27-3.32, 2 Bi 3.28, 2 Mg 3.30
In (0.0000, 0.5000, 0.1673)  6 In 3.27-3.32, 2 Bi 3.28, 2 Mg 3.30
In (0.5000, 0.5000, 0.3338)  8 In 3.27, 4 Mg 3.32
In (0.5000, 0.5000, 0.6662)  8 In 3.27, 4 Mg 3.32

***

No. 4
A plane-wave DFT calculation with PBE was carried out for Mg5In6Bi after structural relaxation.

Calculated values
E_form ... -0.056 eV/atom
Spin magnetization ... 0.00 μB per cell
N(E_F) ... 4.29 states/eV/cell

Lattice parameters (Å, degrees): 4.6261 8.7323 8.7323 108.85 105.59 105.59
Last column: nearest neighbours and their distance in Å.
Positions (direct):
In (0.2604, 0.4319, 0.0887)  7 Mg 3.15-3.31, 4 In 3.22-3.36, 1 Bi 3.38
In (0.2279, 0.7288, 0.7288)  6 Mg 3.08-3.36, 2 Bi 3.36-3.37, 4 In 3.36
In (0.7721, 0.2712, 0.2712)  6 Mg 3.08-3.36, 2 Bi 3.36-3.37, 4 In 3.36
In (0.7396, 0.5681, 0.9113)  7 Mg 3.15-3.31, 4 In 3.22-3.36, 1 Bi 3.38
Mg (0.5000, 0.5000, 0.5000)  8 In 3.08-3.26, 4 Mg 3.38
Mg (0.0000, 0.3262, 0.6738)  8 In 3.15-3.22, 4 Mg 3.28-3.38
Bi (0.0000, 0.0000, 0.0000)  4 Mg 3.27, 8 In 3.36-3.38
Mg (0.5000, 0.1625, 0.8375)  8 In 3.20-3.36, 2 Bi 3.27, 2 Mg 3.28
Mg (0.5000, 0.8375, 0.1625)  8 In 3.20-3.36, 2 Bi 3.27, 2 Mg 3.28
In (0.2604, 0.0887, 0.4319)  7 Mg 3.15-3.31, 4 In 3.22-3.36, 1 Bi 3.38
Mg (0.0000, 0.6738, 0.3262)  8 In 3.15-3.22, 4 Mg 3.28-3.38
In (0.7396, 0.9113, 0.5681)  7 Mg 3.15-3.31, 4 In 3.22-3.36, 1 Bi 3.38

***

Question: Which formula does entry 1 have?
Answer: Mg2In3Bi